1.
Density functional theory data (meta-GGA SCAN) for a crystal of KScHg relaxed with PBEsol.

Values from the calculation:
- crystal system = trigonal
- SG = P3m1
- E (eV per cell) = -89.989

abc: 5.343 5.343 3.065
angles: 90.00 90.00 120.00
Atoms (fractional coordinates):
K 0.000 0.000 0.000
Sc 0.667 0.333 0.190
Hg 0.333 0.667 0.583



2.
Density functional theory data (meta-GGA SCAN) for a crystal of Mg2GeIrF relaxed with PBEsol.

Values from the calculation:
- energy relative to the elements, uncorrected (eV/atom) = -0.468
- crystal system = tetragonal
- SG = P4/mmm

abc: 3.845 3.845 5.313
angles: 90.00 90.00 90.00
Atoms (fractional coordinates):
Mg 0.000 0.500 0.000
Mg 0.500 0.000 0.000
Ge 0.000 0.000 0.500
Ir 0.500 0.500 0.500
F 0.500 0.500 0.000



3.
Density functional theory data (meta-GGA SCAN) for a crystal of K4Al4Si19 relaxed with PBEsol.

Values from the calculation:
- energy relative to the elements, uncorrected (eV/atom) = -0.082
- crystal system = triclinic
- SG = P1

abc: 10.457 10.458 10.478
angles: 89.91 89.92 89.76
Atoms (fractional coordinates):
K 0.000 0.000 0.000
K 0.001 0.256 0.494
K 0.005 0.502 0.995
K 0.250 0.750 0.500
K 0.498 0.249 0.746
K 0.500 0.257 0.251
K 0.503 0.749 0.997
K 0.751 0.748 0.498
Al 0.000 0.752 0.749
Al 0.002 0.559 0.377
Al 0.253 0.250 0.997
Al 0.306 0.372 0.500
Al 0.498 0.632 0.693
Al 0.499 0.000 0.499
Al 0.809 0.752 0.120
Al 0.878 0.251 0.189
Si 0.000 0.554 0.618
Si 0.000 0.948 0.610
Si 0.001 0.950 0.377
Si 0.010 0.760 0.249
Si 0.111 0.247 0.804
Si 0.119 0.249 0.190
Si 0.177 0.434 0.693
Si 0.182 0.066 0.681
Si 0.187 0.069 0.314
Si 0.188 0.431 0.303
Si 0.196 0.755 0.888
Si 0.200 0.754 0.120
Si 0.302 0.132 0.499
Si 0.307 0.568 0.819
Si 0.317 0.564 0.178
Si 0.317 0.936 0.816
Si 0.320 0.937 0.184
Si 0.386 0.448 0.995
Si 0.388 0.053 0.999
Si 0.500 0.628 0.300
Si 0.500 0.863 0.303
Si 0.500 0.872 0.697
Si 0.505 0.503 0.493
Si 0.619 0.445 0.995
Si 0.620 0.055 0.999
Si 0.680 0.939 0.188
Si 0.682 0.560 0.182
Si 0.684 0.934 0.813
Si 0.691 0.568 0.817
Si 0.695 0.138 0.500
Si 0.695 0.373 0.500
Si 0.744 0.249 0.990
Si 0.805 0.752 0.881
Si 0.809 0.437 0.316
Si 0.811 0.064 0.319
Si 0.815 0.065 0.680
Si 0.818 0.436 0.685
Si 0.877 0.248 0.801



4.
Density functional theory data (meta-GGA SCAN) for a crystal of TcOsPd2 relaxed with PBEsol.

Values from the calculation:
- crystal system = cubic
- SG = Fm-3m
- E (eV per cell) = -169.760

abc: 4.329 4.329 4.329
angles: 60.00 60.00 60.00
Atoms (fractional coordinates):
Tc 0.000 0.000 0.000
Os 0.500 0.500 0.500
Pd 0.250 0.250 0.250
Pd 0.750 0.750 0.750



5.
Density functional theory data (meta-GGA SCAN) for a crystal of AlAg2Os relaxed with PBEsol.

Values from the calculation:
- crystal system = tetragonal
- SG = P4mm
- E (eV per cell) = -141.971

abc: 2.869 2.869 7.405
angles: 90.00 90.00 90.00
Atoms (fractional coordinates):
Al 0.000 0.000 0.000
Ag 0.000 0.000 0.474
Ag 0.500 0.500 0.746
Os 0.500 0.500 0.207



6.
Density functional theory data (meta-GGA SCAN) for a crystal of OsPb relaxed with PBEsol.

Values from the calculation:
- crystal system = cubic
- SG = Fm-3m
- E (eV per cell) = -144.407

abc: 3.863 3.863 3.863
angles: 60.00 60.00 60.00
Atoms (fractional coordinates):
Os 0.000 0.000 0.000
Pb 0.500 0.500 0.500



Listing theoretical density for the structures above in their given order: 6.24; 7.03; 2.31; 14.51; 11.80; 16.20 g/cm³.